First-principles (GGA-PBE) data for a geometry-optimized Li6Ac2Pd3 structure, as listed in Alexandria.

Cell: 4.1531 8.0577 8.0577 Å, 120.00 90.00 90.00°
Last column: nearest neighbours and their distance in Å.
Element x y z (fractional)
Li1 0.5000 0.7460 0.7460  3 Pd 2.76-2.85, 4 Li 2.80
Li2 0.5000 0.0000 0.2540  3 Pd 2.76-2.85, 4 Li 2.80
Li3 0.0000 0.2043 0.2043  2 Pd 2.63, 6 Li 2.80-2.85
Li4 0.0000 0.7957 0.0000  2 Pd 2.63, 6 Li 2.80-2.85
Li5 0.5000 0.2540 0.0000  3 Pd 2.76-2.85, 4 Li 2.80
Li6 0.0000 0.0000 0.7957  2 Pd 2.63, 6 Li 2.80-2.85
Ac1 0.0000 0.6667 0.3333  6 Pd 3.21, 3 Li 3.33
Ac2 0.0000 0.3333 0.6667  6 Pd 3.21, 3 Li 3.33
Pd1 0.5000 0.4040 0.4040  5 Li 2.63-2.85
Pd2 0.5000 0.5960 0.0000  5 Li 2.63-2.85
Pd3 0.5000 0.0000 0.5960  5 Li 2.63-2.85

Properties
Total DFT energy (no corrections) in eV per atom: -3.5899
Symmetry: No. 189
V in A^3/atom: 21.23
DOS(E_F) in states/eV/cell: 4.51


First-principles (GGA-PBE) data for a geometry-optimized Li2Ac3Pd3 structure, as listed in Alexandria.

Cell: 6.0799 8.9964 8.9964 Å, 120.00 90.00 90.00°
Last column: nearest neighbours and their distance in Å.
Element x y z (fractional)
Li1 0.0000 0.3333 0.6667  2 Li 3.04, 6 Pd 3.18
Li2 0.5000 0.6667 0.3333  2 Li 3.04, 6 Pd 3.18
Li3 0.0000 0.6667 0.3333  2 Li 3.04, 6 Pd 3.18
Li4 0.5000 0.3333 0.6667  2 Li 3.04, 6 Pd 3.18
Ac1 0.7500 0.2782 0.0000  5 Pd 3.02-3.19
Ac2 0.7500 0.7218 0.7218  5 Pd 3.02-3.19
Ac3 0.7500 0.0000 0.2782  5 Pd 3.02-3.19
Ac4 0.2500 0.7218 0.0000  5 Pd 3.02-3.19
Ac5 0.2500 0.2782 0.2782  5 Pd 3.02-3.19
Ac6 0.2500 0.0000 0.7218  5 Pd 3.02-3.19
Pd1 0.7500 0.6143 0.0000  5 Ac 3.02-3.19, 4 Li 3.18
Pd2 0.7500 0.3857 0.3857  5 Ac 3.02-3.19, 4 Li 3.18
Pd3 0.7500 0.0000 0.6143  5 Ac 3.02-3.19, 4 Li 3.18
Pd4 0.2500 0.3857 0.0000  5 Ac 3.02-3.19, 4 Li 3.18
Pd5 0.2500 0.6143 0.6143  5 Ac 3.02-3.19, 4 Li 3.18
Pd6 0.2500 0.0000 0.3857  5 Ac 3.02-3.19, 4 Li 3.18

Properties
Energy relative to the lowest polymorph listed for this composition in eV/atom: 0.066
Total DFT energy (no corrections) in eV per atom: -4.5083
Symmetry: No. 193
V in A^3/atom: 26.63
DOS(E_F) in states/eV/cell: 12.11


First-principles (GGA-PBE) data for a geometry-optimized Li5Ac4Pd6 structure, as listed in Alexandria.

Cell: 4.3272 10.4663 15.8887 Å, 90.00 90.00 101.93°
Last column: nearest neighbours and their distance in Å.
Element x y z (fractional)
Li1 0.4332 0.8664 0.6636  3 Pd 2.50-2.78
Li2 0.5668 0.1336 0.1636  3 Pd 2.50-2.78
Li3 0.1567 0.3134 0.6278  4 Pd 2.57-2.85
Li4 0.8433 0.6866 0.1278  4 Pd 2.57-2.85
Li5 0.6474 0.2948 0.4995  4 Pd 2.59-2.85
Li6 0.3526 0.7052 0.9995  4 Pd 2.59-2.85
Li7 0.2980 0.5959 0.6217  4 Pd 2.67-2.77, 2 Li 2.85-2.90
Li8 0.7020 0.4041 0.1217  4 Pd 2.67-2.77, 2 Li 2.85-2.90
Li9 0.3374 0.6748 0.2519  3 Pd 2.58-2.74
Li10 0.6626 0.3252 0.7519  3 Pd 2.58-2.74
Ac1 0.9702 0.9404 0.2670  6 Pd 3.13-3.20, 5 Li 3.36-3.48
Ac2 0.0298 0.0596 0.7670  6 Pd 3.13-3.20, 5 Li 3.36-3.48
Ac3 0.1670 0.3340 0.3078  6 Pd 3.01-3.19
Ac4 0.8330 0.6660 0.8078  6 Pd 3.01-3.19
Ac5 0.8166 0.6331 0.4434  6 Pd 2.99-3.15
Ac6 0.1834 0.3669 0.9434  6 Pd 2.99-3.15
Ac7 0.0096 0.0191 0.5086  7 Pd 3.15-3.37
Ac8 0.9904 0.9809 0.0086  7 Pd 3.15-3.37
Pd1 0.7697 0.5394 0.2651  4 Li 2.58-2.67
Pd2 0.4235 0.8470 0.4020  1 Pd 2.88, 1 Li 2.97, 4 Ac 3.15-3.19
Pd3 0.7835 0.5669 0.9860  4 Li 2.57-2.73
Pd4 0.2165 0.4331 0.4860  4 Li 2.57-2.73
Pd5 0.4400 0.8800 0.8596  2 Li 2.85-3.12, 1 Pd 2.88, 2 Ac 3.19
Pd6 0.5600 0.1200 0.3596  2 Li 2.85-3.12, 1 Pd 2.88, 2 Ac 3.19
Pd7 0.4335 0.8670 0.1323  5 Li 2.68-2.85
Pd8 0.5665 0.1330 0.6323  5 Li 2.68-2.85
Pd9 0.1179 0.2357 0.1192  4 Li 2.50-2.77
Pd10 0.8821 0.7643 0.6192  4 Li 2.50-2.77
Pd11 0.5765 0.1530 0.9020  1 Pd 2.88, 1 Li 2.97, 4 Ac 3.15-3.19
Pd12 0.2303 0.4606 0.7651  4 Li 2.58-2.67

Properties
Total DFT energy (no corrections) in eV per atom: -4.3442
Symmetry: No. 36
V in A^3/atom: 23.47
DOS(E_F) in states/eV/cell: 15.18


First-principles (GGA-PBE) data for a geometry-optimized Li2AcPd3 structure, as listed in Alexandria.

Cell: 4.5175 4.5175 12.7998 Å, 90.00 90.00 120.00°
Last column: nearest neighbours and their distance in Å.
Element x y z (fractional)
Li1 0.6667 0.3333 0.4314  7 Pd 2.50-2.75
Li2 0.3333 0.6667 0.5686  7 Pd 2.50-2.75
Li3 0.3333 0.6667 0.9314  7 Pd 2.50-2.75
Li4 0.6667 0.3333 0.0686  7 Pd 2.50-2.75
Ac1 0.0000 0.0000 0.2500  8 Pd 3.05-3.20
Ac2 0.0000 0.0000 0.7500  8 Pd 3.05-3.20
Pd1 0.0000 0.0000 0.5000  6 Li 2.75, 6 Pd 3.07
Pd2 0.0000 0.0000 0.0000  6 Li 2.75, 6 Pd 3.07
Pd3 0.6667 0.3333 0.6268  4 Li 2.50-2.71
Pd4 0.3333 0.6667 0.1268  4 Li 2.50-2.71
Pd5 0.6667 0.3333 0.8732  4 Li 2.50-2.71
Pd6 0.3333 0.6667 0.3732  4 Li 2.50-2.71

Properties
Energy relative to the lowest polymorph listed for this composition in eV/atom: 0.055
Total DFT energy (no corrections) in eV per atom: -4.4790
Symmetry: No. 194
V in A^3/atom: 18.85
DOS(E_F) in states/eV/cell: 6.38


Question: Among the records above, which one has the lowest DOS(E_F)?
Answer: Li6Ac2Pd3


What did the second record say?
First-principles (GGA-PBE) data for a geometry-optimized Li2Ac3Pd3 structure, as listed in Alexandria.

Cell: 6.0799 8.9964 8.9964 Å, 120.00 90.00 90.00°
Last column: nearest neighbours and their distance in Å.
Element x y z (fractional)
Li1 0.0000 0.3333 0.6667  2 Li 3.04, 6 Pd 3.18
Li2 0.5000 0.6667 0.3333  2 Li 3.04, 6 Pd 3.18
Li3 0.0000 0.6667 0.3333  2 Li 3.04, 6 Pd 3.18
Li4 0.5000 0.3333 0.6667  2 Li 3.04, 6 Pd 3.18
Ac1 0.7500 0.2782 0.0000  5 Pd 3.02-3.19
Ac2 0.7500 0.7218 0.7218  5 Pd 3.02-3.19
Ac3 0.7500 0.0000 0.2782  5 Pd 3.02-3.19
Ac4 0.2500 0.7218 0.0000  5 Pd 3.02-3.19
Ac5 0.2500 0.2782 0.2782  5 Pd 3.02-3.19
Ac6 0.2500 0.0000 0.7218  5 Pd 3.02-3.19
Pd1 0.7500 0.6143 0.0000  5 Ac 3.02-3.19, 4 Li 3.18
Pd2 0.7500 0.3857 0.3857  5 Ac 3.02-3.19, 4 Li 3.18
Pd3 0.7500 0.0000 0.6143  5 Ac 3.02-3.19, 4 Li 3.18
Pd4 0.2500 0.3857 0.0000  5 Ac 3.02-3.19, 4 Li 3.18
Pd5 0.2500 0.6143 0.6143  5 Ac 3.02-3.19, 4 Li 3.18
Pd6 0.2500 0.0000 0.3857  5 Ac 3.02-3.19, 4 Li 3.18

Properties
Energy relative to the lowest polymorph listed for this composition in eV/atom: 0.066
Total DFT energy (no corrections) in eV per atom: -4.5083
Symmetry: No. 193
V in A^3/atom: 26.63
DOS(E_F) in states/eV/cell: 12.11